Below is an optimized crystal structure of PrNp4As5, with properties calculated at the PBE level.

Results
Total DFT energy (no corrections) = -8.783 eV per atom
Formation energy from the elements = -8.04 eV per formula unit

```
data_PrNp4As5
_chemical_formula_sum 'Pr2 Np8 As10'
_cell_length_a 13.8048
_cell_length_b 4.1160
_cell_length_c 10.1953
_cell_angle_alpha 90.00
_cell_angle_beta 119.84
_cell_angle_gamma 90.00
_symmetry_space_group_name_H-M 'C 1 2/m 1'
_symmetry_Int_Tables_number 12
loop_
_symmetry_equiv_pos_as_xyz
'x,y,z'
'-x,-y,-z'
'-x,y,-z'
'x,-y,z'
'x+1/2,y+1/2,z'
'-x+1/2,-y+1/2,-z'
'-x+1/2,y+1/2,-z'
'x+1/2,-y+1/2,z'
loop_
_atom_site_label
_atom_site_fract_x
_atom_site_fract_y
_atom_site_fract_z
Pr1 0.0000 0.0000 0.0000
Np1 0.0976 0.5000 0.3994
Np2 0.2017 0.0000 0.7980
As1 0.0000 0.0000 0.5000
As2 0.1059 0.5000 0.8959
As3 0.2030 0.0000 0.3078
```